A plane-wave DFT calculation with PBE was carried out for crystalline Nd2ErMg3ZnHg2 at its relaxed geometry.

a b c (Å): 4.6559 7.4338 7.4338
angles (deg): 119.18 90.00 90.00
Element x y z (fractional)
1 Nd 0.0000 0.2062 0.7938
2 Nd 0.0000 0.7938 0.2062
3 Er 0.0000 0.3781 0.3781
4 Mg 0.5000 0.0262 0.0262
5 Mg 0.5000 0.5529 0.7910
6 Mg 0.5000 0.7910 0.5529
7 Zn 0.0000 0.7816 0.7816
8 Hg 0.5000 0.1336 0.4563
9 Hg 0.5000 0.4563 0.1336

Output
- total energy (eV/atom) = -2.64
- SG = Amm2 (38)
- crystal system = orthorhombic
- magnetic moment (μB/f.u.) = 0.0

A plane-wave DFT calculation with PBE was carried out for crystalline YEr2Mg3Tl2Hg at its relaxed geometry.

a b c (Å): 4.5852 7.5031 7.5031
angles (deg): 120.23 90.00 90.00
Element x y z (fractional)
1 Y 0.0000 0.0000 0.0000
2 Er 0.0000 0.4221 0.8441
3 Er 0.0000 0.8441 0.4221
4 Mg 0.5000 0.1841 0.4225
5 Mg 0.5000 0.4225 0.1841
6 Mg 0.5000 0.6618 0.6618
7 Tl 0.5000 0.0897 0.7542
8 Tl 0.5000 0.7542 0.0897
9 Hg 0.0000 0.4255 0.4255

Output
- total energy (eV/atom) = -3.18
- SG = Amm2 (38)
- crystal system = orthorhombic
- magnetic moment (μB/f.u.) = 0.0

A plane-wave DFT calculation with PBE was carried out for crystalline Y2ErMg3Tl2Hg at its relaxed geometry.

a b c (Å): 4.5900 7.4976 7.4976
angles (deg): 119.77 90.00 90.00
Element x y z (fractional)
1 Y 0.0000 0.2107 0.7893
2 Y 0.0000 0.7893 0.2107
3 Er 0.0000 0.6319 0.6319
4 Mg 0.5000 0.2111 0.4504
5 Mg 0.5000 0.4504 0.2111
6 Mg 0.5000 0.9728 0.9728
7 Tl 0.5000 0.5449 0.8761
8 Tl 0.5000 0.8761 0.5449
9 Hg 0.0000 0.2142 0.2142

Output
- total energy (eV/atom) = -3.40
- SG = Amm2 (38)
- crystal system = orthorhombic
- magnetic moment (μB/f.u.) = 0.0

A plane-wave DFT calculation with PBE was carried out for crystalline Er3Mg3ZnHg2 at its relaxed geometry.

a b c (Å): 7.7688 7.7688 4.0441
angles (deg): 90.00 90.00 120.00
Element x y z (fractional)
1 Er 0.0000 0.4081 0.0000
2 Er 0.4081 0.0000 0.0000
3 Er 0.5919 0.5919 0.0000
4 Mg 0.0000 0.7552 0.5000
5 Mg 0.2448 0.2448 0.5000
6 Mg 0.7552 0.0000 0.5000
7 Zn 0.0000 0.0000 0.0000
8 Hg 0.3333 0.6667 0.5000
9 Hg 0.6667 0.3333 0.5000

Output
- total energy (eV/atom) = -2.60
- SG = P-62m (189)
- crystal system = hexagonal
- magnetic moment (μB/f.u.) = 0.0

A plane-wave DFT calculation with PBE was carried out for crystalline Er3Mg3Zn2Hg at its relaxed geometry.

a b c (Å): 7.5149 7.5149 4.2076
angles (deg): 90.00 90.00 120.00
Element x y z (fractional)
1 Er 0.0000 0.4176 0.0000
2 Er 0.4176 0.0000 0.0000
3 Er 0.5824 0.5824 0.0000
4 Mg 0.0000 0.7457 0.5000
5 Mg 0.2543 0.2543 0.5000
6 Mg 0.7457 0.0000 0.5000
7 Zn 0.3333 0.6667 0.5000
8 Zn 0.6667 0.3333 0.5000
9 Hg 0.0000 0.0000 0.0000

Output
- total energy (eV/atom) = -2.65
- SG = P-62m (189)
- crystal system = hexagonal
- magnetic moment (μB/f.u.) = 0.0

A plane-wave DFT calculation with PBE was carried out for crystalline Er3HgN at its relaxed geometry.

a b c (Å): 4.7367 4.7367 4.7367
angles (deg): 90.00 90.00 90.00
Element x y z (fractional)
1 Er 0.0000 0.0000 0.5000
2 Er 0.0000 0.5000 0.0000
3 Er 0.5000 0.0000 0.0000
4 Hg 0.5000 0.5000 0.5000
5 N 0.0000 0.0000 0.0000

Output
- total energy (eV/atom) = -5.42
- SG = Pm-3m (221)
- crystal system = cubic
- magnetic moment (μB/f.u.) = 0.0

A plane-wave DFT calculation with PBE was carried out for crystalline ErHgNO at its relaxed geometry.

a b c (Å): 3.7874 6.3135 6.1370
angles (deg): 90.00 90.00 90.00
Element x y z (fractional)
1 Er 0.0000 0.1496 0.0000
2 Er 0.0000 0.8504 0.5000
3 Hg 0.5000 0.4058 0.5456
4 Hg 0.5000 0.5942 0.0456
5 N 0.5000 0.2942 0.8714
6 N 0.5000 0.7058 0.3714
7 O 0.0000 0.1483 0.3477
8 O 0.0000 0.8517 0.8477

Output
- total energy (eV/atom) = -5.69
- SG = Pmc2_1 (26)
- crystal system = orthorhombic
- magnetic moment (μB/f.u.) = 0.0

A plane-wave DFT calculation with PBE was carried out for crystalline ErHgNO at its relaxed geometry.

a b c (Å): 4.9857 4.9857 4.5670
angles (deg): 90.00 90.00 90.00
Element x y z (fractional)
1 Er 0.2500 0.7500 0.0000
2 Er 0.7500 0.2500 0.0000
3 Hg 0.2500 0.2500 0.4953
4 Hg 0.7500 0.7500 0.5047
5 N 0.2500 0.2500 0.9960
6 N 0.7500 0.7500 0.0040
7 O 0.2500 0.7500 0.5000
8 O 0.7500 0.2500 0.5000

Output
- total energy (eV/atom) = -5.63
- SG = P4/nmm (129)
- crystal system = tetragonal
- magnetic moment (μB/f.u.) = 0.0

A plane-wave DFT calculation with PBE was carried out for crystalline ErHgNO at its relaxed geometry.

a b c (Å): 3.9810 6.0461 5.6657
angles (deg): 90.00 90.00 90.00
Element x y z (fractional)
1 Er 0.0000 0.1968 0.0000
2 Er 0.0000 0.8032 0.5000
3 Hg 0.5000 0.2769 0.4756
4 Hg 0.5000 0.7231 0.9756
5 N 0.0000 0.1586 0.3971
6 N 0.0000 0.8414 0.8971
7 O 0.5000 0.3171 0.9216
8 O 0.5000 0.6829 0.4216

Output
- total energy (eV/atom) = -5.70
- SG = Pmc2_1 (26)
- crystal system = orthorhombic
- magnetic moment (μB/f.u.) = 0.0

A plane-wave DFT calculation with PBE was carried out for crystalline ErHgNO at its relaxed geometry.

a b c (Å): 3.8979 3.8979 7.8920
angles (deg): 90.00 90.00 90.00
Element x y z (fractional)
1 Er 0.2500 0.2500 0.1334
2 Er 0.7500 0.7500 0.8666
3 Hg 0.2500 0.7500 0.5000
4 Hg 0.7500 0.2500 0.5000
5 N 0.2500 0.2500 0.7012
6 N 0.7500 0.7500 0.2988
7 O 0.2500 0.7500 0.0000
8 O 0.7500 0.2500 0.0000

Output
- total energy (eV/atom) = -5.51
- SG = P4/nmm (129)
- crystal system = tetragonal
- magnetic moment (μB/f.u.) = 0.0

A plane-wave DFT calculation with PBE was carried out for crystalline NaErHg at its relaxed geometry.

a b c (Å): 7.1441 7.1441 7.1441
angles (deg): 90.00 90.00 90.00
Element x y z (fractional)
1 Na 0.0000 0.0000 0.0000
2 Na 0.0000 0.5000 0.5000
3 Na 0.5000 0.0000 0.5000
4 Na 0.5000 0.5000 0.0000
5 Er 0.2500 0.2500 0.7500
6 Er 0.2500 0.7500 0.2500
7 Er 0.7500 0.2500 0.2500
8 Er 0.7500 0.7500 0.7500
9 Hg 0.0000 0.0000 0.5000
10 Hg 0.0000 0.5000 0.0000
11 Hg 0.5000 0.0000 0.0000
12 Hg 0.5000 0.5000 0.5000

Output
- total energy (eV/atom) = -1.73
- SG = F-43m (216)
- crystal system = cubic
- magnetic moment (μB/f.u.) = 0.0

A plane-wave DFT calculation with PBE was carried out for crystalline NaErHg at its relaxed geometry.

a b c (Å): 6.9235 6.9235 6.9235
angles (deg): 90.00 90.00 90.00
Element x y z (fractional)
1 Na 0.0000 0.0000 0.0000
2 Na 0.0000 0.5000 0.5000
3 Na 0.5000 0.0000 0.5000
4 Na 0.5000 0.5000 0.0000
5 Er 0.2500 0.2500 0.7500
6 Er 0.2500 0.7500 0.2500
7 Er 0.7500 0.2500 0.2500
8 Er 0.7500 0.7500 0.7500
9 Hg 0.2500 0.2500 0.2500
10 Hg 0.2500 0.7500 0.7500
11 Hg 0.7500 0.2500 0.7500
12 Hg 0.7500 0.7500 0.2500

Output
- total energy (eV/atom) = -1.69
- SG = F-43m (216)
- crystal system = cubic
- magnetic moment (μB/f.u.) = 0.5